[1]
This record from Alexandria via LeMat-Bulk describes crystalline Ce4TmTh3P8 at its relaxed geometry. The functional is PBE-GGA.

Unit cell a=8.1994 b=8.1994 c=8.1994 alpha=59.98 beta=59.98 gamma=59.98
With the nearest neighbours (Å) after each atom.
Positions (direct):
Ce 0.0000 0.0000 0.0000  6 P 2.94
Ce 0.0000 0.5000 0.5000  6 P 2.88-2.89
Ce 0.5000 0.0000 0.5000  6 P 2.88-2.89
Ce 0.5000 0.5000 0.0000  6 P 2.88-2.89
Tm 0.5000 0.5000 0.5000  6 P 2.86
Th 0.0000 0.0000 0.5000  6 P 2.91
Th 0.0000 0.5000 0.0000  6 P 2.91
Th 0.5000 0.0000 0.0000  6 P 2.91
P 0.2512 0.2512 0.2512  3 Ce 2.88, 3 Th 2.91
P 0.2532 0.2532 0.7445  1 Tm 2.86, 3 Ce 2.89-2.94, 2 Th 2.91
P 0.2532 0.7445 0.2532  1 Tm 2.86, 3 Ce 2.89-2.94, 2 Th 2.91
P 0.2555 0.7468 0.7468  1 Tm 2.86, 3 Ce 2.89-2.94, 2 Th 2.91
P 0.7445 0.2532 0.2532  1 Tm 2.86, 3 Ce 2.89-2.94, 2 Th 2.91
P 0.7468 0.2555 0.7468  1 Tm 2.86, 3 Ce 2.89-2.94, 2 Th 2.91
P 0.7468 0.7468 0.2555  1 Tm 2.86, 3 Ce 2.89-2.94, 2 Th 2.91
P 0.7488 0.7488 0.7488  3 Ce 2.88, 3 Th 2.91

Computed properties:
Final energy = -7.3975 eV per atom
ΔH_f (0 K) = -24.62 eV/f.u.
Total moment = 2.0 μB/cell
Space-group type = R-3m (166)

[2]
This record from Alexandria via LeMat-Bulk describes crystalline Tm2ZrZn3 at its relaxed geometry. The functional is PBE-GGA.

Unit cell a=3.4655 b=3.4655 c=10.3224 alpha=90.00 beta=90.00 gamma=90.00
With the nearest neighbours (Å) after each atom.
Positions (direct):
Tm 0.0000 0.0000 0.1722  8 Zn 3.03-3.04, 1 Zr 3.38
Tm 0.0000 0.0000 0.8278  8 Zn 3.03-3.04, 1 Zr 3.38
Zr 0.0000 0.0000 0.5000  8 Zn 2.92
Zn 0.5000 0.5000 0.0000  8 Tm 3.03
Zn 0.5000 0.5000 0.3466  4 Zr 2.92, 4 Tm 3.04, 1 Zn 3.17
Zn 0.5000 0.5000 0.6534  4 Zr 2.92, 4 Tm 3.04, 1 Zn 3.17

Computed properties:
Final energy = -3.8539 eV per atom
ΔH_f (0 K) = -1.81 eV/f.u.
Total moment = 0.0 μB/cell
Space-group type = P4/mmm (123)

[3]
This record from Alexandria via LeMat-Bulk describes crystalline Sm8Si3IrI4 at its relaxed geometry. The functional is PBE-GGA.

Unit cell a=9.1127 b=9.1127 c=9.1127 alpha=56.09 beta=56.09 gamma=56.09
With the nearest neighbours (Å) after each atom.
Positions (direct):
Sm 0.2323 0.2323 0.2323  3 Si 2.90
Sm 0.2403 0.7253 0.7253  1 Ir 2.81, 2 Si 2.91
Sm 0.2747 0.2747 0.7597  1 Ir 2.81, 2 Si 2.91
Sm 0.2747 0.7597 0.2747  1 Ir 2.81, 2 Si 2.91
Sm 0.7253 0.2403 0.7253  1 Ir 2.81, 2 Si 2.91
Sm 0.7253 0.7253 0.2403  1 Ir 2.81, 2 Si 2.91
Sm 0.7597 0.2747 0.2747  1 Ir 2.81, 2 Si 2.91
Sm 0.7677 0.7677 0.7677  3 Si 2.90
Si 0.0000 0.0000 0.5000  6 Sm 2.90-2.91
Si 0.0000 0.5000 0.0000  6 Sm 2.90-2.91
Si 0.5000 0.0000 0.0000  6 Sm 2.90-2.91
Ir 0.5000 0.5000 0.5000  6 Sm 2.81
I 0.0000 0.0000 0.0000  6 Sm 3.48
I 0.0000 0.5000 0.5000  6 Sm 3.39-3.40
I 0.5000 0.0000 0.5000  6 Sm 3.39-3.40
I 0.5000 0.5000 0.0000  6 Sm 3.39-3.40

Computed properties:
Final energy = -5.2236 eV per atom
Total moment = 0.0 μB/cell
Space-group type = R-3m (166)
Energy relative to the elements, uncorrected = -0.91 eV/atom

[4]
This record from Alexandria via LeMat-Bulk describes crystalline ZrFeTeN2 at its relaxed geometry. The functional is PBE-GGA.

Unit cell a=4.1216 b=4.1216 c=6.1166 alpha=90.00 beta=90.00 gamma=90.00
With the nearest neighbours (Å) after each atom.
Positions (direct):
Zr 0.0000 0.0000 0.0000  4 N 2.06
Fe 0.5000 0.5000 0.5000  4 Te 2.91
Te 0.0000 0.0000 0.5000  4 Fe 2.91, 2 Zr 3.06
N 0.0000 0.5000 0.0000  2 Zr 2.06
N 0.5000 0.0000 0.0000  2 Zr 2.06

Computed properties:
Final energy = -6.6766 eV per atom
Total moment = 4.5 μB/cell
Space-group type = P4/mmm (123)
Energy relative to the elements, uncorrected = 0.68 eV/atom

[5]
This record from Alexandria via LeMat-Bulk describes crystalline Dy5TlHg6 at its relaxed geometry. The functional is PBE-GGA.

Unit cell a=9.1152 b=9.1152 c=9.1152 alpha=147.06 beta=130.87 gamma=60.42
With the nearest neighbours (Å) after each atom.
Positions (direct):
Dy 0.0000 0.0000 0.0000  8 Hg 3.10-3.28
Dy 0.1749 0.6749 0.5000  8 Hg 3.10-3.24
Dy 0.3527 0.3527 0.0000  8 Hg 3.12-3.34, 2 Tl 3.47
Dy 0.6473 0.6473 0.0000  8 Hg 3.12-3.34, 2 Tl 3.47
Dy 0.8251 0.3251 0.5000  8 Hg 3.10-3.24
Tl 0.5000 0.0000 0.5000  8 Hg 3.32-3.39, 4 Dy 3.47
Hg 0.0628 0.8257 0.2371  7 Dy 3.10-3.34, 1 Tl 3.39
Hg 0.2249 0.5000 0.7249  6 Dy 3.10-3.24, 2 Tl 3.32, 1 Hg 3.41
Hg 0.4114 0.1743 0.2371  7 Dy 3.10-3.34, 1 Tl 3.39
Hg 0.5886 0.8257 0.7629  7 Dy 3.10-3.34, 1 Tl 3.39
Hg 0.7751 0.5000 0.2751  6 Dy 3.10-3.24, 2 Tl 3.32, 1 Hg 3.41
Hg 0.9372 0.1743 0.7629  7 Dy 3.10-3.34, 1 Tl 3.39

Computed properties:
Final energy = -2.6884 eV per atom
ΔH_f (0 K) = -5.07 eV/f.u.
Total moment = 0.0 μB/cell
Space-group type = Immm (71)

[6]
This record from Alexandria via LeMat-Bulk describes crystalline CdNiP2 at its relaxed geometry. The functional is PBE-GGA.

Unit cell a=2.7164 b=2.7164 c=9.2856 alpha=90.00 beta=90.00 gamma=90.00
With the nearest neighbours (Å) after each atom.
Positions (direct):
Cd 0.0000 0.0000 0.0000  4 Cd 2.72
Ni 0.0000 0.0000 0.5000  8 P 2.46, 4 Ni 2.72
P 0.5000 0.5000 0.3348  4 Ni 2.46, 4 P 2.72
P 0.5000 0.5000 0.6652  4 Ni 2.46, 4 P 2.72

Computed properties:
Final energy = -4.2644 eV per atom
ΔH_f (0 K) = 0.46 eV/f.u.
Total moment = 0.0 μB/cell
Space-group type = P4/mmm (123)

[7]
This record from Alexandria via LeMat-Bulk describes crystalline Te2PtPb at its relaxed geometry. The functional is PBE-GGA.

Unit cell a=4.7173 b=3.9754 c=6.3972 alpha=90.00 beta=104.28 gamma=90.00
With the nearest neighbours (Å) after each atom.
Positions (direct):
Te 0.0000 0.0000 0.0000  2 Pt 2.67
Te 0.2847 0.5000 0.6890  1 Pt 2.58
Pt 0.0333 0.5000 0.2825  3 Te 2.58-2.67
Pb 0.6159 0.0000 0.4061  4 Pt 3.04-3.33, 3 Te 3.33-3.39

Computed properties:
Final energy = -4.1640 eV per atom
Total moment = 0.0 μB/cell
Space-group type = Pm (6)
Energy relative to the elements, uncorrected = -0.16 eV/atom

[8]
This record from Alexandria via LeMat-Bulk describes crystalline PuZr at its relaxed geometry. The functional is PBE-GGA.

Unit cell a=3.0961 b=3.5625 c=7.7345 alpha=90.00 beta=92.16 gamma=90.00
With the nearest neighbours (Å) after each atom.
Positions (direct):
Pu 0.1424 0.2500 0.0802  2 Pu 2.32
Pu 0.8576 0.7500 0.9198  2 Pu 2.32
Zr 0.2550 0.2500 0.6327  6 Zr 3.10-3.15, 4 Pu 3.13-3.36
Zr 0.7450 0.7500 0.3673  6 Zr 3.10-3.15, 4 Pu 3.13-3.36

Computed properties:
Final energy = -11.2498 eV per atom
ΔH_f (0 K) = 0.38 eV/f.u.
Total moment = 0.0 μB/cell
Space-group type = P2_1/m (11)

What did the eighth record say?
This record from Alexandria via LeMat-Bulk describes crystalline PuZr at its relaxed geometry. The functional is PBE-GGA.

Unit cell a=3.0961 b=3.5625 c=7.7345 alpha=90.00 beta=92.16 gamma=90.00
With the nearest neighbours (Å) after each atom.
Positions (direct):
Pu 0.1424 0.2500 0.0802  2 Pu 2.32
Pu 0.8576 0.7500 0.9198  2 Pu 2.32
Zr 0.2550 0.2500 0.6327  6 Zr 3.10-3.15, 4 Pu 3.13-3.36
Zr 0.7450 0.7500 0.3673  6 Zr 3.10-3.15, 4 Pu 3.13-3.36

Computed properties:
Final energy = -11.2498 eV per atom
ΔH_f (0 K) = 0.38 eV/f.u.
Total moment = 0.0 μB/cell
Space-group type = P2_1/m (11)

Copy entry 8 word for word.
This record from Alexandria via LeMat-Bulk describes crystalline PuZr at its relaxed geometry. The functional is PBE-GGA.

Unit cell a=3.0961 b=3.5625 c=7.7345 alpha=90.00 beta=92.16 gamma=90.00
With the nearest neighbours (Å) after each atom.
Positions (direct):
Pu 0.1424 0.2500 0.0802  2 Pu 2.32
Pu 0.8576 0.7500 0.9198  2 Pu 2.32
Zr 0.2550 0.2500 0.6327  6 Zr 3.10-3.15, 4 Pu 3.13-3.36
Zr 0.7450 0.7500 0.3673  6 Zr 3.10-3.15, 4 Pu 3.13-3.36

Computed properties:
Final energy = -11.2498 eV per atom
ΔH_f (0 K) = 0.38 eV/f.u.
Total moment = 0.0 μB/cell
Space-group type = P2_1/m (11)

> Number 2 is which compound?

Tm2ZrZn3

> Which formula does entry 7 have?

Te2PtPb